# 1
The following is a PBE calculation of crystalline CdSiO3 at its relaxed geometry, from the Alexandria database.

a b c (Å): 3.5866 3.5866 3.5866
angles (deg): 90.00 90.00 90.00
With the nearest neighbours (Å) after each atom.
Space group Pm-3m (No. 221)
Symmetry-distinct sites (fractional):
1 Cd 0.0000 0.0000 0.0000 [1 per cell]  12 O 2.54
2 Si 0.5000 0.5000 0.5000 [1 per cell]  6 O 1.79
3 O 0.0000 0.5000 0.5000 [3 per cell]  2 Si 1.79

Computed properties:
**Formation energy from raw total energies**: -1.745 eV per atom
**Volume**: 9.228 Å³/atom
**Crystal system**: cubic
**E_tot**: -5.987 eV per atom

# 2
The following is a PBE calculation of crystalline Hg2PtCl at its relaxed geometry, from the Alexandria database.

a b c (Å): 5.4803 5.4803 16.0527
angles (deg): 90.00 90.00 90.00
With the nearest neighbours (Å) after each atom.
Space group I-42d (No. 122)
Symmetry-distinct sites (fractional):
1 Hg 0.1870 0.2500 0.1250 [8 per cell]  2 Pt 2.64
2 Pt 0.0000 0.0000 0.0000 [4 per cell]  4 Hg 2.64
3 Cl 0.0000 0.0000 0.5000 [4 per cell]  4 Hg 2.97

Computed properties:
**Formation energy from raw total energies**: 0.159 eV per atom
**Distance to the lowest polymorph of the same formula**: 84 kJ/mol of formula units
**Volume**: 30.133 Å³/atom
**Crystal system**: tetragonal
**E_tot**: -1.964 eV per atom